(1)
Ho2ZrPb | GGA-PBE | optimized geometry

Cell: 3.4290 3.4290 34.8628 Å, 90.00 90.00 120.00°
Space group R-3m (No. 166, hexagonal axes)
Asymmetric unit:
Ho 0.0000 0.0000 0.0918 (multiplicity 6)
Zr 0.0000 0.0000 0.5000 (multiplicity 3)
Pb 0.0000 0.0000 0.0000 (multiplicity 3)

Output
Total magnetization (μB per formula unit): 0.0
Energy relative to the elements (meV per atom): 87.8
Excess energy over the best structure of this formula in the dataset (meV/atom): 261.1
Density (g cm⁻³): 8.82

=====

(2)
Pu4Ga3Si | GGA-PBE | optimized geometry

Cell: 3.549 4.994 10.049 Å, 90.00 90.00 90.00°
Space group Pmmm (No. 47)
Asymmetric unit:
Pu 0.000 0.000 0.000 (multiplicity 1)
Pu 0.000 0.000 0.500 (multiplicity 1)
Pu 0.000 0.500 0.236 (multiplicity 2)
Ga 0.500 0.000 0.253 (multiplicity 2)
Ga 0.500 0.500 0.500 (multiplicity 1)
Si 0.500 0.500 0.000 (multiplicity 1)

Output
Total magnetization (μB per formula unit): 11.0
Formation energy (no corrections) (eV/atom): -0.267
Excess energy over the best structure of this formula in the dataset (meV/atom): 0.0
Density (g cm⁻³): 11.31

=====

(3)
NaCuO | GGA-PBE | optimized geometry

Cell: 7.601 4.886 5.847 Å, 90.00 111.40 90.00°
Space group C2 (No. 5)
Asymmetric unit:
Na 0.116 0.000 0.349 (multiplicity 4)
Cu 0.223 0.621 0.001 (multiplicity 4)
O 0.205 0.865 0.750 (multiplicity 4)

Output
Total magnetization (μB per formula unit): 0.0
Formation energy (no corrections) (eV/atom): -0.892
Density (g cm⁻³): 3.37

=====

(4)
Rb2Ga2H7 | GGA-PBE | optimized geometry

Cell: 5.123 13.868 5.583 Å, 90.00 90.70 90.00°
Space group P2_1/c (No. 14)
Asymmetric unit:
Rb 0.179 0.134 0.161 (multiplicity 4)
Ga 0.369 0.611 0.858 (multiplicity 4)
H 0.157 0.685 0.966 (multiplicity 4)
H 0.285 0.574 0.592 (multiplicity 4)
H 0.358 0.168 0.669 (multiplicity 4)
H 0.500 0.000 0.500 (multiplicity 2)

Output
Total magnetization (μB per formula unit): 0.5
E_tot (eV for the cell shown): -64.46
Density (g cm⁻³): 2.66

=====

(5)
BaCaI | GGA-PBE | optimized geometry

Cell: 7.239 4.359 9.255 Å, 90.00 112.52 90.00°
Space group Pm (No. 6)
Asymmetric unit:
Ba 0.000 0.000 0.000 (multiplicity 1)
Ba 0.321 0.000 0.655 (multiplicity 1)
Ca 0.533 0.500 0.058 (multiplicity 1)
Ca 0.796 0.500 0.597 (multiplicity 1)
I 0.494 0.000 0.328 (multiplicity 1)
I 0.995 0.500 0.327 (multiplicity 1)

Output
Total magnetization (μB per formula unit): 0.6
Formation energy (no corrections) (eV/atom): -0.754
Excess energy over the best structure of this formula in the dataset (meV/atom): 77.9
Density (g cm⁻³): 3.75

=====

(6)
La4RuAuBr2 | GGA-PBE | optimized geometry

Cell: 7.462 4.261 8.267 Å, 90.00 107.46 90.00°
Space group P2/m (No. 10)
Asymmetric unit:
La 0.221 0.000 0.200 (multiplicity 2)
La 0.240 0.500 0.799 (multiplicity 2)
Ru 0.000 0.500 0.000 (multiplicity 1)
Au 0.500 0.000 0.000 (multiplicity 1)
Br 0.000 0.000 0.500 (multiplicity 1)
Br 0.500 0.500 0.500 (multiplicity 1)

Output
Total magnetization (μB per formula unit): 0.0
Formation energy (no corrections) (eV/atom): -1.026
Density (g cm⁻³): 6.71

=====

(7)
SbPtAu3 | GGA-PBE | optimized geometry

Cell: 5.054 5.054 5.054 Å, 90.00 90.00 90.00°
Space group Pm-3m (No. 221)
Asymmetric unit:
Sb 0.000 0.000 0.000 (multiplicity 1)
Pt 0.500 0.500 0.500 (multiplicity 1)
Au 0.000 0.500 0.500 (multiplicity 3)

Output
Total magnetization (μB per formula unit): 0.0
Formation energy (no corrections) (eV/atom): 0.723
Excess energy over the best structure of this formula in the dataset (meV/atom): 0.0
Density (g cm⁻³): 11.67

=====

(8)
NaCrI2 | GGA-PBE | optimized geometry

Cell: 7.799 7.799 7.799 Å, 90.00 90.00 90.00°
Space group Fm-3m (No. 225)
Asymmetric unit:
Na 0.000 0.000 0.000 (multiplicity 4)
Cr 0.000 0.000 0.500 (multiplicity 4)
I 0.250 0.250 0.250 (multiplicity 8)

Output
Total magnetization (μB per formula unit): 5.0
Formation energy (no corrections) (eV/atom): -0.209
Excess energy over the best structure of this formula in the dataset (meV/atom): 225.4
Density (g cm⁻³): 4.60

=====

(9)
PmTm3C2 | GGA-PBE | optimized geometry

Cell: 12.406 7.162 7.383 Å, 90.00 124.20 90.00°
Space group C2/m (No. 12)
Asymmetric unit:
Pm 0.247 0.000 0.241 (multiplicity 4)
Tm 0.013 0.248 0.788 (multiplicity 8)
Tm 0.239 0.500 0.212 (multiplicity 4)
C 0.000 0.000 0.000 (multiplicity 2)
C 0.000 0.500 0.000 (multiplicity 2)
C 0.250 0.250 0.000 (multiplicity 4)

Output
Total magnetization (μB per formula unit): 0.9
Energy relative to the elements (meV per atom): -277.2
Density (g cm⁻³): 8.27

=====

(10)
Ac3Ag2Pt3 | GGA-PBE | optimized geometry

Cell: 9.1558 9.1558 6.0665 Å, 90.00 90.00 120.00°
Space group P6_3/mcm (No. 193)
Asymmetric unit:
Ac 0.0000 0.3127 0.2500 (multiplicity 6)
Ag 0.3333 0.6667 0.0000 (multiplicity 4)
Pt 0.0000 0.3565 0.7500 (multiplicity 6)

Output
Total magnetization (μB per formula unit): 0.0
Energy relative to the elements (meV per atom): -773.3
Density (g cm⁻³): 11.18

=====

(11)
CaAl2Cd9 | GGA-PBE | optimized geometry

Cell: 11.963 11.963 7.672 Å, 90.00 90.00 90.00°
Space group I4_1/amd (No. 141, origin choice 2)
Asymmetric unit:
Ca 0.000 0.250 0.375 (multiplicity 4)
Al 0.000 0.000 0.000 (multiplicity 8)
Cd 0.000 0.250 0.875 (multiplicity 4)
Cd 0.121 0.054 0.671 (multiplicity 32)

Output
Total magnetization (μB per formula unit): 0.0
Energy relative to the elements (meV per atom): -36.1
Density (g cm⁻³): 6.69

=====

(12)
KRbCr2Pd | GGA-PBE | optimized geometry

Cell: 6.196 6.196 5.575 Å, 90.00 90.00 90.00°
Space group P4/mmm (No. 123)
Asymmetric unit:
K 0.000 0.000 0.000 (multiplicity 1)
Rb 0.500 0.500 0.500 (multiplicity 1)
Cr 0.000 0.500 0.500 (multiplicity 2)
Pd 0.500 0.500 0.000 (multiplicity 1)

Output
Total magnetization (μB per formula unit): 10.7
Energy relative to the elements (meV per atom): 1634.8
Density (g cm⁻³): 2.60

=====

Question: What is the formula in the ninth record?
Answer: PmTm3C2